No. 1
Density functional theory data (PBE) for crystalline La2AlTe at its relaxed geometry.

- energy relative to the elements, uncorrected (eV/atom) = -0.85

Structure (CIF):
```
data_La2AlTe
_cell_length_a 4.7804
_cell_length_b 6.4417
_cell_length_c 4.3157
_cell_angle_alpha 90.00
_cell_angle_beta 90.00
_cell_angle_gamma 90.00
_space_group_name_H-M_alt 'P m m 2'
_space_group_IT_number 25
loop_
_space_group_symop_operation_xyz
'x,y,z'
'-x,-y,z'
'-x,y,z'
'x,-y,z'
loop_
_atom_site_label
_atom_site_fract_x
_atom_site_fract_y
_atom_site_fract_z
La1 0.0000 0.0000 0.0000
La2 0.5000 0.5000 0.4990
Al1 0.5000 0.0000 0.5003
Te1 0.0000 0.5000 0.9991
```


No. 2
Density functional theory data (PBE) for crystalline PuCu3As3 at its relaxed geometry.

- DFT formation energy (eV per atom) = -0.271

Structure (CIF):
```
data_PuCu3As3
_cell_length_a 8.2612
_cell_length_b 8.2612
_cell_length_c 4.0394
_cell_angle_alpha 90.00
_cell_angle_beta 90.00
_cell_angle_gamma 120.00
_space_group_name_H-M_alt 'P 63/m'
_space_group_IT_number 176
_space_group_name_Hall '-P 6c'
loop_
_atom_site_label
_atom_site_fract_x
_atom_site_fract_y
_atom_site_fract_z
Pu1 0.3333 0.6667 0.2500
Cu1 0.0635 0.8502 0.2500
As1 0.0706 0.6650 0.7500
```


No. 3
Density functional theory data (PBE) for crystalline CeTm5Sb6 at its relaxed geometry.

- energy relative to the elements, uncorrected (eV/atom) = -1.06

Structure (CIF):
```
data_CeTm5Sb6
_cell_length_a 7.5547
_cell_length_b 13.0956
_cell_length_c 7.5637
_cell_angle_alpha 90.00
_cell_angle_beta 109.50
_cell_angle_gamma 90.00
_space_group_name_H-M_alt 'C 1 2/m 1'
_space_group_IT_number 12
loop_
_space_group_symop_operation_xyz
'x,y,z'
'-x,-y,-z'
'-x,y,-z'
'x,-y,z'
'x+1/2,y+1/2,z'
'-x+1/2,-y+1/2,-z'
'-x+1/2,y+1/2,-z'
'x+1/2,-y+1/2,z'
loop_
_atom_site_label
_atom_site_fract_x
_atom_site_fract_y
_atom_site_fract_z
Ce1 0.0000 0.0000 0.0000
Tm1 0.0000 0.1643 0.5000
Tm2 0.0000 0.3326 0.0000
Tm3 0.0000 0.5000 0.5000
Sb1 0.2453 0.5000 0.2511
Sb2 0.2462 0.3310 0.7460
```


No. 4
Density functional theory data (PBE) for crystalline Rb2AgTe at its relaxed geometry.

- energy relative to the elements, uncorrected (eV/atom) = -0.47

Structure (CIF):
```
data_Rb2AgTe
_cell_length_a 12.0793
_cell_length_b 5.9322
_cell_length_c 11.5796
_cell_angle_alpha 90.00
_cell_angle_beta 118.20
_cell_angle_gamma 90.00
_space_group_name_H-M_alt 'C 1 2/c 1'
_space_group_IT_number 15
loop_
_space_group_symop_operation_xyz
'x,y,z'
'-x,-y,-z'
'-x,y,-z+1/2'
'x,-y,z+1/2'
'x+1/2,y+1/2,z'
'-x+1/2,-y+1/2,-z'
'-x+1/2,y+1/2,-z+1/2'
'x+1/2,-y+1/2,z+1/2'
loop_
_atom_site_label
_atom_site_fract_x
_atom_site_fract_y
_atom_site_fract_z
Rb1 0.1825 0.0183 0.0923
Ag1 0.0000 0.2798 0.2500
Te1 0.0000 0.2230 0.7500
```